NaH3Pd: optimized geometry, PBE-GGA.

Output
Polymorph energy (0 for the lowest one) ... 2.60 eV per formula unit
Raw total energy ... -3.058 eV per atom

Structure (CIF):
```
data_NaH3Pd
_chemical_formula_sum 'Na3 H9 Pd3'
_cell_length_a 5.7364
_cell_length_b 5.7364
_cell_length_c 6.1886
_cell_angle_alpha 90.00
_cell_angle_beta 90.00
_cell_angle_gamma 120.00
_symmetry_space_group_name_H-M 'R 3 m'
_symmetry_Int_Tables_number 160
_symmetry_space_group_name_Hall 'R 3 -2"'
loop_
_atom_site_label
_atom_site_type_symbol
_atom_site_fract_x
_atom_site_fract_y
_atom_site_fract_z
_atom_site_occupancy
Na1 Na 0.0000 0.0000 0.0000 1
H1 H 0.2089 0.4179 0.9881 1
Pd1 Pd 0.0000 0.0000 0.4871 1
```